(1)
VASP calculation (PBE) on NbSeS2 after structural relaxation.

a b c (Å): 6.3302 6.3302 10.0338
angles (deg): 90.00 90.00 90.00
Space group I-42d (No. 122)
One atom of each set of equivalent atoms:
Nb (0.0000, 0.0000, 0.0000) (multiplicity 4)
Se (0.0000, 0.0000, 0.5000) (multiplicity 4)
S (0.1872, 0.2500, 0.1250) (multiplicity 8)

**VASP energy**: -5.44 eV per atom
**Total moment**: 2.7 μB/cell

---

(2)
VASP calculation (PBE) on Nb2Se2S after structural relaxation.

a b c (Å): 4.3054 4.3054 11.2224
angles (deg): 90.00 90.00 90.00
Space group I4/mmm (No. 139)
One atom of each set of equivalent atoms:
Nb (0.0000, 0.0000, 0.1177) (multiplicity 4)
Se (0.0000, 0.5000, 0.2500) (multiplicity 4)
S (0.0000, 0.0000, 0.5000) (multiplicity 2)

**VASP energy**: -6.29 eV per atom
**Polymorph energy (0 for the lowest one)**: 520 meV per atom
**Total moment**: 0.0 μB/cell

---

(3)
VASP calculation (PBE) on Nb2SeS after structural relaxation.

a b c (Å): 4.7035 4.7035 14.9588
angles (deg): 90.00 90.00 90.00
Space group I-42d (No. 122)
One atom of each set of equivalent atoms:
Nb (0.2110, 0.2500, 0.1250) (multiplicity 8)
Se (0.0000, 0.0000, 0.5000) (multiplicity 4)
S (0.0000, 0.0000, 0.0000) (multiplicity 4)

**VASP energy**: -7.19 eV per atom
**Polymorph energy (0 for the lowest one)**: 320 meV per atom
**Total moment**: 0.0 μB/cell